[1]
# NaCr3W | Alexandria | GGA-PBE | optimized geometry
# - ΔE to the lowest computed polymorph: 0.000 eV per atom
# - E_form: 31.6 kcal/mol of atoms
# - Fermi-level density of states: 1.64 states/eV per cell
# - E: -7.260 eV/atom
data_NaCr3W
_chemical_formula_sum 'Na1 Cr3 W1'
_space_group_name_H-M_alt 'P m -3 m'
_space_group_IT_number 221
_space_group_name_Hall '-P 4 2 3'
_cell_length_a 4.8167
_cell_length_b 4.8167
_cell_length_c 4.8167
_cell_angle_alpha 90.00
_cell_angle_beta 90.00
_cell_angle_gamma 90.00
loop_
_atom_site_label
_atom_site_type_symbol
_atom_site_fract_x
_atom_site_fract_y
_atom_site_fract_z
Na1 Na 0.0000 0.0000 0.0000
Cr1 Cr 0.0000 0.5000 0.5000
W1 W 0.5000 0.5000 0.5000

[2]
# CrNiIr6 | Alexandria | GGA-PBE | optimized geometry
# - E_form: -2.0 kcal/mol of atoms
# - Fermi-level density of states: 10.13 states/eV per cell
# - E: -8.657 eV/atom
data_CrNiIr6
_chemical_formula_sum 'Cr1 Ni1 Ir6'
_space_group_name_H-M_alt 'P 4/m m m'
_space_group_IT_number 123
_space_group_name_Hall '-P 4 2'
_cell_length_a 5.3921
_cell_length_b 5.3921
_cell_length_c 3.8004
_cell_angle_alpha 90.00
_cell_angle_beta 90.00
_cell_angle_gamma 90.00
loop_
_atom_site_label
_atom_site_type_symbol
_atom_site_fract_x
_atom_site_fract_y
_atom_site_fract_z
Cr1 Cr 0.0000 0.0000 0.0000
Ni1 Ni 0.5000 0.5000 0.0000
Ir1 Ir 0.0000 0.5000 0.0000
Ir2 Ir 0.2475 0.2475 0.5000

[3]
# SrCuTeSe3 | Alexandria | GGA-PBE | optimized geometry
# - E_form (uncorrected): -0.60 eV/atom
# - Fermi-level density of states: 1.82 states/eV per cell
# - E: -3.831 eV/atom
data_SrCuTeSe3
_chemical_formula_sum 'Sr2 Cu2 Te2 Se6'
_space_group_name_H-M_alt 'P 1 21/m 1'
_space_group_IT_number 11
_cell_length_a 8.5132
_cell_length_b 4.4814
_cell_length_c 8.8663
_cell_angle_alpha 90.00
_cell_angle_beta 98.70
_cell_angle_gamma 90.00
loop_
_space_group_symop_operation_xyz
'x,y,z'
'-x,-y,-z'
'-x,y+1/2,-z'
'x,-y+1/2,z'
loop_
_atom_site_label
_atom_site_type_symbol
_atom_site_fract_x
_atom_site_fract_y
_atom_site_fract_z
Sr1 Sr 0.1798 0.2500 0.2561
Cu1 Cu 0.0678 0.2500 0.5843
Te1 Te 0.3099 0.7500 0.8642
Se1 Se 0.1272 0.2500 0.8699
Se2 Se 0.2131 0.7500 0.5174
Se3 Se 0.4048 0.7500 0.1594

[4]
# Dy5PuTl6 | Alexandria | GGA-PBE | optimized geometry
# - E_form: -6.3 kcal/mol of atoms
# - Fermi-level density of states: 36.76 states/eV per cell
# - E: -4.568 eV/atom
data_Dy5PuTl6
_chemical_formula_sum 'Dy10 Pu2 Tl12'
_space_group_name_H-M_alt 'I m m m'
_space_group_IT_number 71
_space_group_name_Hall '-I 2 2'
_cell_length_a 4.9941
_cell_length_b 8.7227
_cell_length_c 14.9959
_cell_angle_alpha 90.00
_cell_angle_beta 90.00
_cell_angle_gamma 90.00
loop_
_atom_site_label
_atom_site_type_symbol
_atom_site_fract_x
_atom_site_fract_y
_atom_site_fract_z
Dy1 Dy 0.0000 0.0000 0.0000
Dy2 Dy 0.0000 0.0000 0.3393
Dy3 Dy 0.0000 0.5000 0.3308
Pu1 Pu 0.0000 0.5000 0.0000
Tl1 Tl 0.0000 0.2477 0.1685
Tl2 Tl 0.0000 0.2545 0.5000

| no. | V (A^3/atom) |
| --- | --- |
| 1 | 22.4 |
| 2 | 13.8 |
| 3 | 27.9 |
| 4 | 27.2 |